Zn2CuPd4 | PBE | optimized geometry

Lattice parameters (Å, degrees): 6.4718 5.4043 6.8261 90.00 118.10 90.00
Last column: nearest neighbours and their distance in Å.
Space group P2_1/m (No. 11)
Unique sites:
Zn: 0.0690 0.2500 0.3635 [2 per cell]  3 Cu 2.44-2.70, 4 Pd 2.53-2.68, 1 Zn 2.68
Zn: 0.2535 0.7500 0.0653 [2 per cell]  8 Pd 2.57-2.73, 1 Zn 2.68, 1 Cu 2.78
Cu: 0.0635 0.7500 0.3553 [2 per cell]  3 Zn 2.44-2.70, 4 Pd 2.48-2.67
Pd: 0.2027 0.2500 0.0597 [2 per cell]  1 Cu 2.53, 4 Zn 2.60-2.72, 1 Pd 2.75
Pd: 0.3321 0.5025 0.7604 [4 per cell]  2 Cu 2.67-2.82, 7 Pd 2.68-2.98, 4 Zn 2.68-2.79
Pd: 0.4926 0.7500 0.4919 [2 per cell]  1 Cu 2.48, 2 Zn 2.53-2.57, 3 Pd 2.70-2.75

Calculated values
formation enthalpy at 0 K	-0.24	eV/atom
total magnetization	0.0	μB/f.u.